Crystalline La4Pr2Al at its relaxed geometry. Source: Alexandria via LeMat-Bulk, functional GGA-PBE.

* energy of formation: -0.005 eV/atom
* distance to the lowest polymorph of the same formula: 0.000 eV per atom
* total magnetization: 0.00 μB per formula unit
* SG: No. 166
* DOS at the Fermi energy: 10.117 states/eV/cell

The structure in extended XYZ format:
```
7
Lattice="3.740 0.000 0.000 1.870 3.239 0.000 1.870 1.080 20.239" Properties=species:S:1:pos:R:3 pbc="T T T"
La 5.611 3.239 17.900
La 5.611 3.239 5.573
La 1.870 1.080 2.338
La 1.870 1.080 14.666
Pr 5.611 3.239 11.641
Pr 1.870 1.080 8.597
Al 0.000 0.000 0.000
```

=====

Crystalline La4PrAl2 at its relaxed geometry. Source: Alexandria via LeMat-Bulk, functional GGA-PBE.

* energy of formation: -0.167 eV/atom
* distance to the lowest polymorph of the same formula: 0.000 eV per atom
* total magnetization: 0.00 μB per formula unit
* SG: No. 166
* DOS at the Fermi energy: 5.235 states/eV/cell

The structure in extended XYZ format:
```
7
Lattice="-3.187 4.129 1.728 -0.431 1.076 5.371 5.341 7.011 1.834" Properties=species:S:1:pos:R:3 pbc="T T T"
Pr 0.000 0.000 0.000
Al 1.829 9.595 6.656
Al -0.106 2.621 2.277
La -0.652 7.595 6.858
La 2.375 4.621 2.075
La -0.946 4.651 4.613
La 2.669 7.565 4.320
```

=====

Crystalline La2Pr2Al at its relaxed geometry. Source: Alexandria via LeMat-Bulk, functional GGA-PBE.

* energy of formation: 0.331 eV/atom
* total magnetization: 0.00 μB per formula unit
* SG: No. 166
* DOS at the Fermi energy: 4.550 states/eV/cell

The structure in extended XYZ format:
```
5
Lattice="-1.839 -3.484 -2.990 2.809 -3.844 -1.339 -2.415 -6.795 5.312" Properties=species:S:1:pos:R:3 pbc="T T T"
La -0.166 -6.177 -0.881
La -1.279 -7.946 1.864
Pr -0.027 -2.999 -0.579
Pr -1.418 -11.124 1.562
Al 0.000 0.000 0.000
```

=====

Crystalline La2Pr4Al at its relaxed geometry. Source: Alexandria via LeMat-Bulk, functional GGA-PBE.

* energy of formation: 0.431 eV/atom
* distance to the lowest polymorph of the same formula: 0.434 eV per atom
* total magnetization: 0.00 μB per formula unit
* SG: No. 111
* DOS at the Fermi energy: 10.297 states/eV/cell

The structure in extended XYZ format:
```
7
Lattice="-4.168 -2.574 0.668 0.826 -2.434 -4.224 5.445 -7.429 5.346" Properties=species:S:1:pos:R:3 pbc="T T T"
Pr 1.425 -8.371 3.576
Pr 0.288 -2.916 0.210
Pr 3.785 -8.305 1.264
Pr -1.292 -5.282 -1.470
Al 0.000 0.000 0.000
La 0.638 -5.001 3.007
La 3.135 -4.931 0.561
```

=====

- The lowest DOS at the Fermi energy belongs to which entry?
  La2Pr2Al

=====

- Which value of energy of formation does entry 2 give?
  -0.167 eV/atom

=====

- Among the records above, which one has the lowest energy of formation?
  La4PrAl2